# 1
Material: La3AlZn3
Method: DFT, PBE-GGA
State: optimized geometry

Results
total moment: 0.0 μB per formula unit
volume: 358.73 Å³/cell

Unit cell a=5.8793 b=5.8793 c=15.0335 alpha=107.57 beta=107.57 gamma=46.98
Last column: nearest neighbours and their distance in Å.
Positions (direct):
La  0.0483  0.0483  0.3863  7 Zn 3.19-3.45, 4 Al 3.19-3.26
La  0.1029  0.1029  0.9219  7 Zn 3.16-3.39
La  0.2683  0.2683  0.2282  6 Zn 3.16-3.36, 2 Al 3.49
La  0.7317  0.7317  0.7718  6 Zn 3.16-3.36, 2 Al 3.49
La  0.8971  0.8971  0.0781  7 Zn 3.16-3.39
La  0.9517  0.9517  0.6137  7 Zn 3.19-3.45, 4 Al 3.19-3.26
Al  0.2466  0.2466  0.6033  4 Zn 2.61-2.86
Al  0.7534  0.7534  0.3967  4 Zn 2.61-2.86
Zn  0.3697  0.3697  0.4616  1 Zn 2.66, 3 Al 2.69-2.86
Zn  0.3975  0.3975  0.9247  2 Zn 2.56-2.59
Zn  0.4356  0.4356  0.7652  1 Zn 2.56, 1 Al 2.61
Zn  0.5644  0.5644  0.2348  1 Zn 2.56, 1 Al 2.61
Zn  0.6025  0.6025  0.0753  2 Zn 2.56-2.59
Zn  0.6303  0.6303  0.5384  1 Zn 2.66, 3 Al 2.69-2.86

# 2
Material: LaAlZn2
Method: DFT, PBE-GGA
State: optimized geometry

Results
total moment: 0.0 μB per formula unit
volume: 86.54 Å³/cell

Unit cell a=3.3938 b=4.2815 c=6.1818 alpha=90.00 beta=105.53 gamma=90.00
Last column: nearest neighbours and their distance in Å.
Positions (direct):
La  0.0000  0.0000  0.0000  7 Zn 3.08-3.36, 2 La 3.39
Al  0.3125  0.5000  0.6308  6 Zn 2.78-2.89
Zn  0.6280  0.5000  0.2596  2 Zn 2.52, 2 Al 2.78-2.79
Zn  0.7280  0.0000  0.4834  2 Zn 2.52

no.,ΔH_f (0 K) (eV/atom)
1,-0.330
2,-0.171